(1)
A plane-wave DFT calculation with PBE was carried out for a relaxed structure of YBe2GePd2.

Values from the calculation:
**Formation enthalpy at 0 K**: -22 kJ/mol of atoms
**Electronic total energy**: -30.3 eV/cell
**Total magnetic moment**: 0.0 μB per formula unit
**V**: 98 Å³/f.u.
**Symmetry**: P4/mmm, No. 123

abc: 4.170 4.170 5.645
angles: 90.00 90.00 90.00
Element x y z (fractional)
1 Ge 0.000 0.000 0.000
2 Pd 0.500 0.500 0.252
3 Y 0.000 0.000 0.500
4 Be 0.500 0.000 0.000
5 Pd 0.500 0.500 0.748
6 Be 0.000 0.500 0.000



(2)
A plane-wave DFT calculation with PBE was carried out for a relaxed structure of Pr4SiTeSe2.

Values from the calculation:
**Electronic total energy**: -46.7 eV/cell
**Total magnetic moment**: 0.0 μB per formula unit
**V**: 235 Å³/f.u.
**Symmetry**: P2/m, No. 10

abc: 4.336 7.475 7.664
angles: 70.73 90.00 90.00
Element x y z (fractional)
1 Se 0.500 0.000 0.500
2 Pr 0.500 0.745 0.267
3 Pr 0.000 0.245 0.273
4 Pr 0.500 0.255 0.733
5 Pr 0.000 0.755 0.727
6 Te 0.500 0.500 0.000
7 Si 0.000 0.500 0.500
8 Se 0.000 0.000 0.000



(3)
A plane-wave DFT calculation with PBE was carried out for a relaxed structure of Pr2Al4CuPd3.

Values from the calculation:
**Formation enthalpy at 0 K**: -71 kJ/mol of atoms
**Electronic total energy**: -51.6 eV/cell
**Total magnetic moment**: 0.0 μB per formula unit
**V**: 195 Å³/f.u.
**Symmetry**: P-4m2, No. 115

abc: 4.423 4.423 9.945
angles: 90.00 90.00 90.00
Element x y z (fractional)
1 Pr 0.500 0.000 0.255
2 Al 0.000 0.500 0.380
3 Al 0.500 0.000 0.620
4 Al 0.500 0.500 0.000
5 Pr 0.000 0.500 0.745
6 Al 0.000 0.000 0.000
7 Cu 0.500 0.500 0.500
8 Pd 0.500 0.000 0.871
9 Pd 0.000 0.500 0.129
10 Pd 0.000 0.000 0.500



(4)
A plane-wave DFT calculation with PBE was carried out for a relaxed structure of RePtRh4.

Values from the calculation:
**Formation enthalpy at 0 K**: 37 kJ/mol of atoms
**Electronic total energy**: -45.6 eV/cell
**Total magnetic moment**: 0.0 μB per formula unit
**ΔE to the lowest computed polymorph**: 465.5 meV/atom
**V**: 90 Å³/f.u.
**Symmetry**: F-43m, No. 216

abc: 5.037 5.037 5.037
angles: 60.00 60.00 60.00
Element x y z (fractional)
1 Rh 0.375 0.375 0.375
2 Rh 0.375 0.375 0.875
3 Rh 0.875 0.375 0.375
4 Pt 0.750 0.750 0.750
5 Rh 0.375 0.875 0.375
6 Re 0.000 0.000 0.000



(5)
A plane-wave DFT calculation with PBE was carried out for a relaxed structure of BaTeIr.

Values from the calculation:
**Electronic total energy**: -15.8 eV/cell
**Total magnetic moment**: 0.0 μB per formula unit
**ΔE to the lowest computed polymorph**: 0.0 meV/atom
**V**: 88 Å³/f.u.
**Symmetry**: P-6m2, No. 187

abc: 4.542 4.542 4.938
angles: 90.00 90.00 120.00
Element x y z (fractional)
1 Te 0.333 0.667 0.500
2 Ba 0.000 0.000 0.000
3 Ir 0.667 0.333 0.500



(6)
A plane-wave DFT calculation with PBE was carried out for a relaxed structure of AlH2RhI.

Values from the calculation:
**Electronic total energy**: -16.3 eV/cell
**Total magnetic moment**: 0.0 μB per formula unit
**V**: 96 Å³/f.u.
**Symmetry**: P4/mmm, No. 123

abc: 3.646 7.256 3.646
angles: 90.00 90.00 90.00
Element x y z (fractional)
1 H 0.000 0.000 0.500
2 H 0.500 0.000 0.000
3 I 0.000 0.000 0.000
4 Rh 0.500 0.500 0.500
5 Al 0.000 0.500 0.000



(7)
A plane-wave DFT calculation with PBE was carried out for a relaxed structure of Y3ErPu3Se8.

Values from the calculation:
**Electronic total energy**: -116.6 eV/cell
**Total magnetic moment**: 6.4 μB per formula unit
**V**: 362 Å³/f.u.
**Symmetry**: Pmmm, No. 47

abc: 10.066 7.151 7.148
angles: 90.00 90.00 135.25
Element x y z (fractional)
1 Se 0.246 0.000 0.739
2 Se 0.246 0.492 0.260
3 Se 0.754 0.508 0.740
4 Se 0.246 0.492 0.740
5 Y 0.500 0.500 0.500
6 Pu 0.000 0.500 0.000
7 Pu 0.500 0.500 0.000
8 Pu 0.000 0.000 0.000
9 Y 0.000 0.500 0.500
10 Y 0.500 0.000 0.500
11 Se 0.754 0.508 0.260
12 Se 0.754 0.000 0.739
13 Er 0.000 0.000 0.500
14 Se 0.246 0.000 0.261
15 Se 0.754 0.000 0.261



(8)
A plane-wave DFT calculation with PBE was carried out for a relaxed structure of TiSi2Au.

Values from the calculation:
**Electronic total energy**: -22.9 eV/cell
**Total magnetic moment**: 0.0 μB per formula unit
**V**: 61 Å³/f.u.
**Symmetry**: P4/mmm, No. 123

abc: 3.611 4.112 4.112
angles: 90.00 90.00 90.00
Element x y z (fractional)
1 Ti 0.500 0.500 0.500
2 Au 0.500 0.000 0.000
3 Si 0.000 0.500 0.000
4 Si 0.000 0.000 0.500



(9)
A plane-wave DFT calculation with PBE was carried out for a relaxed structure of Na4Er3VS8.

Values from the calculation:
**Electronic total energy**: -86.8 eV/cell
**Total magnetic moment**: 2.0 μB per formula unit
**V**: 344 Å³/f.u.
**Symmetry**: R-3m, No. 166

abc: 7.716 8.017 7.716
angles: 118.77 120.00 90.00
Element x y z (fractional)
1 Na 0.500 0.000 0.500
2 S 0.758 0.717 0.988
3 Na 0.000 0.000 0.500
4 Er 0.000 0.500 0.500
5 S 0.771 0.283 0.541
6 S 0.771 0.283 0.012
7 S 0.242 0.283 0.012
8 S 0.257 0.272 0.514
9 S 0.229 0.717 0.988
10 V 0.000 0.500 0.000
11 Er 0.500 0.500 0.500
12 Na 0.000 0.000 0.000
13 Er 0.500 0.500 0.000
14 S 0.743 0.728 0.486
15 S 0.229 0.717 0.459
16 Na 0.500 0.000 0.000



(10)
A plane-wave DFT calculation with PBE was carried out for a relaxed structure of KSbIr2Se.

Values from the calculation:
**Electronic total energy**: -22.1 eV/cell
**Total magnetic moment**: 0.0 μB per formula unit
**V**: 124 Å³/f.u.
**Symmetry**: P4/mmm, No. 123

abc: 4.715 5.573 4.715
angles: 90.00 90.00 90.00
Element x y z (fractional)
1 Sb 0.000 0.500 0.000
2 Ir 0.000 0.000 0.500
3 K 0.500 0.500 0.500
4 Se 0.000 0.000 0.000
5 Ir 0.500 0.000 0.000